(1)
Here is a geometry-optimized Ho2Sc3Tc2 structure from the Alexandria database. Energies are from PBE-GGA.

The structure in CIF format:
```
data_Ho2Sc3Tc2
_chemical_formula_sum 'Ho2 Sc3 Tc2'
_cell_length_a 5.7270
_cell_length_b 5.7270
_cell_length_c 7.9287
_cell_angle_alpha 110.67
_cell_angle_beta 110.67
_cell_angle_gamma 41.27
_space_group_name_H-M_alt 'P 1'
_space_group_IT_number 1
loop_
_space_group_symop_operation_xyz
'x,y,z'
loop_
_atom_site_label
_atom_site_type_symbol
_atom_site_fract_x
_atom_site_fract_y
_atom_site_fract_z
_atom_site_occupancy
Ho1 Ho 0.1546 0.1546 0.3035 1
Ho2 Ho 0.8454 0.8454 0.6965 1
Sc1 Sc 0.3689 0.3689 0.0717 1
Sc2 Sc 0.5000 0.5000 0.5000 1
Sc3 Sc 0.6311 0.6311 0.9283 1
Tc1 Tc 0.1538 0.1538 0.7105 1
Tc2 Tc 0.8462 0.8462 0.2895 1
```

Output
Volume   22.69 A^3/atom
Space group   No. 12
DFT formation energy   -0.16 eV/atom
Total magnetic moment   0.00 μB per cell
Uncorrected energy   -49.986 eV per cell


(2)
Here is a geometry-optimized KCrTeC2 structure from the Alexandria database. Energies are from PBE-GGA.

The structure in CIF format:
```
data_KCrTeC2
_chemical_formula_sum 'K1 Cr1 Te1 C2'
_cell_length_a 4.5846
_cell_length_b 4.5846
_cell_length_c 4.8752
_cell_angle_alpha 90.00
_cell_angle_beta 90.00
_cell_angle_gamma 90.00
_space_group_name_H-M_alt 'P 1'
_space_group_IT_number 1
loop_
_space_group_symop_operation_xyz
'x,y,z'
loop_
_atom_site_label
_atom_site_type_symbol
_atom_site_fract_x
_atom_site_fract_y
_atom_site_fract_z
_atom_site_occupancy
K1 K 0.0000 0.0000 0.0000 1
Cr1 Cr 0.5000 0.5000 0.0000 1
Te1 Te 0.5000 0.5000 0.5000 1
C1 C 0.0000 0.5000 0.5000 1
C2 C 0.5000 0.0000 0.5000 1
```

Output
Volume   20.49 A^3/atom
ΔE_f (raw)   2526 meV/atom
Space group   No. 123
Total magnetic moment   0.44 μB per cell
Uncorrected energy   -19.678 eV per cell


(3)
Here is a geometry-optimized LuMgTlGa structure from the Alexandria database. Energies are from PBE-GGA.

The structure in CIF format:
```
data_LuMgTlGa
_chemical_formula_sum 'Lu1 Mg1 Tl1 Ga1'
_cell_length_a 5.0588
_cell_length_b 5.0588
_cell_length_c 5.0588
_cell_angle_alpha 60.00
_cell_angle_beta 60.00
_cell_angle_gamma 60.00
_space_group_name_H-M_alt 'P 1'
_space_group_IT_number 1
loop_
_space_group_symop_operation_xyz
'x,y,z'
loop_
_atom_site_label
_atom_site_type_symbol
_atom_site_fract_x
_atom_site_fract_y
_atom_site_fract_z
_atom_site_occupancy
Lu1 Lu 0.0000 0.0000 0.0000 1
Mg1 Mg 0.5000 0.5000 0.5000 1
Tl1 Tl 0.2500 0.2500 0.2500 1
Ga1 Ga 0.7500 0.7500 0.7500 1
```

Output
Volume   22.89 A^3/atom
Space group   No. 216
DFT formation energy   -0.23 eV/atom
Total magnetic moment   0.00 μB per cell
Uncorrected energy   -12.409 eV per cell


Q: Which value of total magnetic moment does entry 3 give?
A: 0.00 μB per cell


Q: Which formula does entry 1 have?
A: Ho2Sc3Tc2


Q: Among the records above, which one has the highest uncorrected energy?
A: LuMgTlGa


Q: The highest volume belongs to which entry?
A: LuMgTlGa